DFT (PBE with a Hubbard U) results for V2SbPbO8 after structural relaxation.

```
V2SbPbO8
1.0
5.719 0.000 0.000
-2.860 4.953 0.000
0.000 0.000 6.990
V Sb Pb O
2 1 1 8
Direct
0.667 0.333 0.235 V
0.333 0.667 0.765 V
0.000 0.000 0.500 Sb
0.000 0.000 0.000 Pb
0.333 0.667 0.003 O
0.321 0.167 0.308 O
0.833 0.155 0.308 O
0.667 0.333 0.997 O
0.167 0.845 0.692 O
0.679 0.833 0.692 O
0.155 0.321 0.692 O
0.845 0.679 0.308 O
```

For the total DFT energy (no corrections), the calculation gives -0.249 Ha/atom. The calculated volume is 16.50 A^3/atom. As for the space group: P-3 (147).